Record 1
SrVN: relaxed, PBE-GGA.

The structure in extended XYZ format:
```
6
Lattice="-3.167 -0.881 -1.890 3.719 -3.631 -1.865 -2.127 -2.073 5.055" Properties=species:S:1:pos:R:3 pbc="T T T"
N -0.486 -2.284 -2.126
N -0.237 -0.815 0.585
Sr 0.043 -5.512 1.694
Sr -2.032 -2.734 0.728
V -0.613 -4.191 -1.961
V 0.762 -1.808 -0.723
```

Record 2
SrVN3: relaxed, PBE-GGA.

The structure in extended XYZ format:
```
5
Lattice="3.921 0.000 0.000 0.000 3.921 0.000 0.000 0.000 3.921" Properties=species:S:1:pos:R:3 pbc="T T T"
N 1.961 0.000 0.000
N 0.000 1.961 0.000
N 0.000 0.000 1.961
Sr 1.961 1.961 1.961
V 0.000 0.000 0.000
```

It is found that the N(E_F) values, taken in the order of the records, are 0.939 0.706 states/eV per atom.
It is found that the ρ values, taken in the order of the records, are 4500 4974 kg/m3.
It is found that the DFT total energy values, taken in the order of the records, are -40.9 -37.6 eV per cell.